[1]
DFT (GGA-PBE) results for TaAgHg2 after structural relaxation.

a = 3.0309 Å, b = 3.0309 Å, c = 8.4542 Å
α = 90.00°, β = 90.00°, γ = 90.00°
Fractional positions:
Ta (0.0000, 0.0000, 0.0000)
Ag (0.0000, 0.0000, 0.5000)
Hg (0.5000, 0.5000, 0.2489)
Hg (0.5000, 0.5000, 0.7511)

## Properties
- Space group: P4/mmm (123)
- Crystal system: tetragonal

[2]
DFT (GGA-PBE) results for PaIn2Bi3 after structural relaxation.

a = 5.5209 Å, b = 5.5209 Å, c = 6.6463 Å
α = 90.00°, β = 90.00°, γ = 120.00°
Fractional positions:
Pa (0.0000, 0.0000, 0.0000)
In (0.3333, 0.6667, 0.6596)
In (0.6667, 0.3333, 0.3404)
Bi (0.0000, 0.0000, 0.5000)
Bi (0.3333, 0.6667, 0.1433)
Bi (0.6667, 0.3333, 0.8567)

## Properties
- Space group: P-3m1 (164)
- Polymorph energy (0 for the lowest one): 0.049 eV per atom
- Crystal system: trigonal

Number 1: ΔE_f 0.273 eV per atom. Number 2: ΔE_f 0.020 eV per atom.